[1]
The following is a PBE-GGA calculation of a geometry-optimized AgAsCBr2 structure, from Alexandria via LeMat-Bulk.

Properties
crystal system	tetragonal
N(E_F)	3.90	states/eV/f.u.
formation energy (no corrections)	1.099	eV per atom
E	-2.915	eV per atom

a b c (Å): 5.2492 5.2492 4.0038
angles (deg): 90.00 90.00 90.00
Fractional positions:
1 Ag 0.5000 0.5000 0.5000
2 C 0.0000 0.0000 0.0000
3 As 0.0000 0.0000 0.5000
4 Br 0.5000 0.0000 0.0000
5 Br 0.0000 0.5000 0.0000

***

[2]
The following is a PBE-GGA calculation of a geometry-optimized MgCrW3 structure, from Alexandria via LeMat-Bulk.

Properties
crystal system	cubic
N(E_F)	6.81	states/eV/f.u.
energy of formation from the pure elements	1390	meV/atom
E	-8.626	eV per atom

a b c (Å): 4.5509 4.5509 4.5509
angles (deg): 90.00 90.00 90.00
Fractional positions:
1 Mg 0.5000 0.5000 0.5000
2 W 0.5000 0.0000 0.0000
3 W 0.0000 0.0000 0.5000
4 W 0.0000 0.5000 0.0000
5 Cr 0.0000 0.0000 0.0000

***

[3]
The following is a PBE-GGA calculation of a geometry-optimized La2InGa4Pd3 structure, from Alexandria via LeMat-Bulk.

Properties
crystal system	tetragonal
N(E_F)	6.03	states/eV/f.u.
energy of formation from the pure elements	-750	meV/atom
E	-4.778	eV per atom

a b c (Å): 4.3837 4.3837 10.8182
angles (deg): 90.00 90.00 90.00
Fractional positions:
1 Ga 0.0000 0.5000 0.3521
2 Ga 0.0000 0.0000 0.0000
3 Ga 0.5000 0.5000 0.0000
4 Ga 0.5000 0.0000 0.6479
5 Pd 0.0000 0.5000 0.1226
6 Pd 0.0000 0.0000 0.5000
7 Pd 0.5000 0.0000 0.8774
8 La 0.5000 0.0000 0.2385
9 La 0.0000 0.5000 0.7615
10 In 0.5000 0.5000 0.5000

***

[4]
The following is a PBE-GGA calculation of a geometry-optimized Ni4MoP structure, from Alexandria via LeMat-Bulk.

Properties
crystal system	cubic
N(E_F)	10.79	states/eV/f.u.
energy of formation from the pure elements	201	meV/atom
E	-6.360	eV per atom

a b c (Å): 4.6749 4.6749 4.6749
angles (deg): 60.00 60.00 60.00
Fractional positions:
1 Ni 0.6254 0.1239 0.6254
2 Ni 0.6254 0.6254 0.1239
3 Ni 0.6254 0.6254 0.6254
4 Ni 0.1239 0.6254 0.6254
5 Mo 0.0000 0.0000 0.0000
6 P 0.2500 0.2500 0.2500

***

[5]
The following is a PBE-GGA calculation of a geometry-optimized LiCr2AgMo structure, from Alexandria via LeMat-Bulk.

Properties
crystal system	tetragonal
N(E_F)	3.53	states/eV/f.u.
energy of formation from the pure elements	1254	meV/atom
E	-5.715	eV per atom

a b c (Å): 4.5678 4.8565 4.5678
angles (deg): 90.00 90.00 90.00
Each line ends with the local moment (μB).
Fractional positions:
1 Ag 0.5000 0.5000 0.5000  0.01
2 Cr 0.5000 0.0000 0.0000  3.13
3 Cr 0.0000 0.0000 0.5000  2.36
4 Li 0.0000 0.5000 0.0000  -0.07
5 Mo 0.0000 0.0000 0.0000  -1.33

***

[6]
The following is a PBE-GGA calculation of a geometry-optimized CrRe3Br structure, from Alexandria via LeMat-Bulk.

Properties
crystal system	cubic
N(E_F)	4.84	states/eV/f.u.
formation energy (no corrections)	2.345	eV per atom
E	-7.383	eV per atom

a b c (Å): 4.5329 4.5329 4.5329
angles (deg): 90.00 90.00 90.00
Each line ends with the local moment (μB).
Fractional positions:
1 Cr 0.5000 0.5000 0.5000  3.50
2 Re 0.0000 0.0000 0.5000  -0.32
3 Re 0.5000 0.0000 0.0000  -0.35
4 Re 0.0000 0.5000 0.0000  -0.31
5 Br 0.0000 0.0000 0.0000  0.06

***

[7]
The following is a PBE-GGA calculation of a geometry-optimized CaPuCuSn structure, from Alexandria via LeMat-Bulk.

Properties
crystal system	cubic
N(E_F)	10.94	states/eV/f.u.
energy of formation from the pure elements	-195	meV/atom
E	-6.304	eV per atom

a b c (Å): 5.2241 5.2241 5.2241
angles (deg): 60.00 60.00 60.00
Each line ends with the local moment (μB).
Fractional positions:
1 Cu 0.7500 0.7500 0.7500  -0.03
2 Pu 0.0000 0.0000 0.0000  5.29
3 Sn 0.2500 0.2500 0.2500  -0.10
4 Ca 0.5000 0.5000 0.5000  -0.01

***

[8]
The following is a PBE-GGA calculation of a geometry-optimized Sc3GaN structure, from Alexandria via LeMat-Bulk.

Properties
crystal system	tetragonal
N(E_F)	5.80	states/eV/f.u.
formation energy (no corrections)	-0.037	eV per atom
E	-6.106	eV per atom

a b c (Å): 4.2156 4.2156 7.5167
angles (deg): 90.00 90.00 90.00
Each line ends with the local moment (μB).
Fractional positions:
1 Sc 0.5000 0.0000 0.4317  0.09
2 Sc 0.0000 0.5000 0.4317  0.07
3 Sc 0.0000 0.0000 0.7883  0.57
4 N 0.5000 0.5000 0.4595  -0.01
5 Ga 0.0000 0.0000 0.1525  0.00